Density functional theory data (PBE) for a geometry-optimized CaY2MgPt structure.

Cell: 5.4651 5.4651 5.2042 Å, 90.00 90.00 90.00°
Fractional positions:
Ca 0.0000 0.0000 0.0000
Y 0.0000 0.5000 0.5000
Y 0.5000 0.0000 0.5000
Mg 0.5000 0.5000 0.0000
Pt 0.5000 0.5000 0.5000

Properties
energy relative to the elements: -0.402 eV/atom
final energy: -0.3613 Ry per atom
density of states at the Fermi level: 0.87 states/eV/atom

---

Density functional theory data (PBE) for a geometry-optimized CaMg2ZnPt structure.

Cell: 5.0072 5.0072 4.9455 Å, 90.00 90.00 90.00°
Fractional positions:
Ca 0.0000 0.0000 0.0000
Mg 0.0000 0.5000 0.5000
Mg 0.5000 0.0000 0.5000
Zn 0.5000 0.5000 0.0000
Pt 0.5000 0.5000 0.5000

Properties
energy relative to the elements: -0.348 eV/atom
final energy: -0.2094 Ry per atom
density of states at the Fermi level: 0.53 states/eV/atom

---

Density functional theory data (PBE) for a geometry-optimized Ca2MgZn3Pt4 structure.

Cell: 4.1280 4.1280 11.2690 Å, 90.00 90.00 90.00°
Fractional positions:
Ca 0.0000 0.5000 0.2380
Ca 0.5000 0.0000 0.7620
Mg 0.0000 0.0000 0.5000
Zn 0.0000 0.5000 0.8664
Zn 0.5000 0.0000 0.1336
Zn 0.5000 0.5000 0.5000
Pt 0.0000 0.0000 0.0000
Pt 0.0000 0.5000 0.6452
Pt 0.5000 0.0000 0.3548
Pt 0.5000 0.5000 0.0000

Properties
energy relative to the elements: -0.737 eV/atom
final energy: -0.3010 Ry per atom
density of states at the Fermi level: 0.26 states/eV/atom

---

Density functional theory data (PBE) for a geometry-optimized Ca2MgZn4Pt3 structure.

Cell: 4.0288 4.0288 11.9090 Å, 90.00 90.00 90.00°
Fractional positions:
Ca 0.0000 0.5000 0.2304
Ca 0.5000 0.0000 0.7696
Mg 0.0000 0.0000 0.5000
Zn 0.0000 0.0000 0.0000
Zn 0.0000 0.5000 0.6484
Zn 0.5000 0.0000 0.3516
Zn 0.5000 0.5000 0.0000
Pt 0.0000 0.5000 0.8607
Pt 0.5000 0.0000 0.1393
Pt 0.5000 0.5000 0.5000

Properties
energy relative to the elements: -0.636 eV/atom
final energy: -0.2585 Ry per atom
density of states at the Fermi level: 0.39 states/eV/atom

---

Density functional theory data (PBE) for a geometry-optimized CaPuMg structure.

Cell: 6.3775 6.3775 8.0923 Å, 95.72 95.72 31.92°
Fractional positions:
Ca 0.0490 0.0490 0.2600
Ca 0.9510 0.9510 0.7400
Pu 0.3087 0.3087 0.0281
Pu 0.6913 0.6913 0.9719
Mg 0.2104 0.2104 0.6446
Mg 0.7896 0.7896 0.3554

Properties
energy relative to the elements: 0.325 eV/atom
final energy: -0.4154 Ry per atom
relative energy among the computed polymorphs: 136 meV/atom
density of states at the Fermi level: 1.91 states/eV/atom

---

Density functional theory data (PBE) for a geometry-optimized CaPuMg structure.

Cell: 8.2015 8.2015 8.2015 Å, 156.23 156.23 33.87°
Fractional positions:
Ca 0.0000 0.0000 0.0000
Pu 0.3172 0.3172 0.0000
Mg 0.6635 0.6635 0.0000

Properties
energy relative to the elements: 0.188 eV/atom
final energy: -0.4254 Ry per atom
relative energy among the computed polymorphs: 0 meV/atom
density of states at the Fermi level: 2.86 states/eV/atom

---

Density functional theory data (PBE) for a geometry-optimized CaPuMg2Tl4 structure.

Cell: 9.1676 9.1676 9.1676 Å, 33.63 33.63 33.63°
Fractional positions:
Ca 0.0000 0.0000 0.0000
Pu 0.5000 0.5000 0.5000
Mg 0.2494 0.2494 0.2494
Mg 0.7506 0.7506 0.7506
Tl 0.1250 0.1250 0.1250
Tl 0.3747 0.3747 0.3747
Tl 0.6253 0.6253 0.6253
Tl 0.8750 0.8750 0.8750

Properties
energy relative to the elements: -0.177 eV/atom
final energy: -0.2793 Ry per atom
density of states at the Fermi level: 1.66 states/eV/atom

---

Density functional theory data (PBE) for a geometry-optimized RbCaMg2 structure.

Cell: 6.0128 6.0128 6.0128 Å, 60.00 60.00 60.00°
Fractional positions:
Rb 0.0000 0.0000 0.0000
Ca 0.5000 0.5000 0.5000
Mg 0.2500 0.2500 0.2500
Mg 0.7500 0.7500 0.7500

Properties
energy relative to the elements: 0.237 eV/atom
final energy: -0.0957 Ry per atom
relative energy among the computed polymorphs: 0 meV/atom
density of states at the Fermi level: 1.16 states/eV/atom